An optimized crystal structure of VCu2Au, computed with PBE.

Cell: 2.675 2.675 9.748 Å, 82.11 82.11 60.00°
Element x y z (fractional)
Au1 0.500 0.500 0.500
Cu1 0.084 0.084 0.749
Cu2 0.916 0.916 0.251
V1 0.000 0.000 0.000

Calculated values
calculated volume = 14.9 Å³/atom
N(E_F) = 0.412 states/eV per atom
relative energy among the computed polymorphs = 260.0 meV per atom
formation energy = 381 meV/atom

***

An optimized crystal structure of V2Cu2Au, computed with PBE.

Cell: 6.997 6.997 2.845 Å, 90.00 90.00 90.00°
Element x y z (fractional)
Au1 0.000 0.000 0.000
Au2 0.500 0.500 0.000
Cu1 0.375 0.875 0.000
Cu2 0.875 0.625 0.000
Cu3 0.625 0.125 0.000
Cu4 0.125 0.375 0.000
V1 0.170 0.670 0.500
V2 0.670 0.830 0.500
V3 0.830 0.330 0.500
V4 0.330 0.170 0.500

Calculated values
calculated volume = 13.9 Å³/atom
N(E_F) = 1.103 states/eV per atom
relative energy among the computed polymorphs = 0.0 meV per atom
formation energy = 222 meV/atom

***

An optimized crystal structure of VCu4Au5, computed with PBE.

Cell: 2.964 2.964 17.303 Å, 90.00 90.00 90.00°
Element x y z (fractional)
V1 0.000 0.000 0.000
Cu1 0.000 0.000 0.205
Cu2 0.000 0.000 0.401
Cu3 0.000 0.000 0.599
Cu4 0.000 0.000 0.795
Au1 0.500 0.500 0.104
Au2 0.500 0.500 0.303
Au3 0.500 0.500 0.500
Au4 0.500 0.500 0.697
Au5 0.500 0.500 0.896

Calculated values
calculated volume = 15.2 Å³/atom
N(E_F) = 0.373 states/eV per atom
formation energy = -18 meV/atom

***

An optimized crystal structure of VCu2Au, computed with PBE.

Cell: 4.273 4.273 4.273 Å, 60.00 60.00 60.00°
Element x y z (fractional)
Au1 0.500 0.500 0.500
Cu1 0.250 0.250 0.250
Cu2 0.750 0.750 0.750
V1 0.000 0.000 0.000

Calculated values
calculated volume = 13.8 Å³/atom
N(E_F) = 0.428 states/eV per atom
relative energy among the computed polymorphs = 2.6 meV per atom
formation energy = 123 meV/atom